Computed, not measured: a relaxed ScSiOs2 crystal at the PBE level of DFT.

D(E_F), states/eV/cell: 4.054
E_tot, eV per atom: -8.74
Volume, Å³/cell: 61.7
Total magnetic moment, μB per formula unit: 0.0
E_form (uncorrected), eV/f.u.: -0.750

a b c (Å): 2.877 2.877 7.458
angles (deg): 90.00 90.00 90.00
Space group P4mm (No. 99)
Asymmetric unit:
Sc1 0.000 0.000 0.000 x1
Si1 0.500 0.500 0.286 x1
Os1 0.000 0.000 0.484 x1
Os2 0.500 0.500 0.724 x1